(1)
The following is a DFT calculation (PBE) of crystalline CaIn6Pb2 at its relaxed geometry.

Lattice parameters (Å, degrees): 4.7370 7.3803 8.4366 64.06 83.86 75.85
Last column: nearest neighbours and their distance in Å.
Positions (direct):
Ca 0.0000 0.0000 0.0000  8 In 3.30-3.51, 4 Pb 3.47
In 0.1504 0.8240 0.6850  5 In 3.13-3.39, 3 Pb 3.21-3.44, 1 Ca 3.38
In 0.8496 0.1760 0.3150  5 In 3.13-3.39, 3 Pb 3.21-3.44, 1 Ca 3.38
In 0.3383 0.3409 0.0000  7 In 3.10-3.39, 1 Ca 3.30
In 0.1504 0.5090 0.3150  5 In 3.13-3.39, 3 Pb 3.21-3.44, 1 Ca 3.38
In 0.8496 0.4910 0.6850  5 In 3.13-3.39, 3 Pb 3.21-3.44, 1 Ca 3.38
In 0.6617 0.6591 0.0000  7 In 3.10-3.39, 1 Ca 3.30
Pb 0.5000 0.8325 0.3349  8 In 3.21-3.53, 2 Ca 3.47
Pb 0.5000 0.1675 0.6651  8 In 3.21-3.53, 2 Ca 3.47

The calculated total energy is -26.7 eV/cell. The density of states at the Fermi level is 4.93 states/eV/cell. As for the symmetry: C2/m (12). As for the calculated volume: 28.6 Å³/atom.


(2)
The following is a DFT calculation (PBE) of crystalline KTbEr2 at its relaxed geometry.

Lattice parameters (Å, degrees): 3.5570 3.5570 13.3354 82.34 82.34 60.00
Last column: nearest neighbours and their distance in Å.
Positions (direct):
K 0.0000 0.0000 0.0000  6 K 3.56, 2 Er 3.79
Tb 0.5000 0.5000 0.5000  6 Er 3.47, 6 Tb 3.56
Er 0.0958 0.0958 0.7127  3 Tb 3.47, 6 Er 3.56, 1 K 3.79
Er 0.9042 0.9042 0.2873  3 Tb 3.47, 6 Er 3.56, 1 K 3.79

The calculated total energy is -13.8 eV/cell. The density of states at the Fermi level is 4.42 states/eV/cell. As for the symmetry: R-3m (166). As for the calculated volume: 36.1 Å³/atom.


The following formation energy from the elements values (in eV/atom) correspond, in order, to the records above: -0.0895; 0.2571.